Entry 1:
## Tb2YZrAs4 (PBE-GGA)

Data for crystalline Tb2YZrAs4 at its relaxed geometry.

Summary:
Formation energy from the elements = -1438 meV per atom
Magnetization = 0.0 μB/f.u.

Unit cell a=7.0260 b=4.0547 c=7.0270 alpha=90.00 beta=109.30 gamma=90.00
With the nearest neighbours (Å) after each atom.
Space group P2/m (No. 10)
Unique sites:
Tb 0.0000 0.0000 0.0000 (multiplicity 1)  6 As 2.93
Tb 0.5000 0.5000 0.0000 (multiplicity 1)  6 As 2.87
Y 0.0000 0.5000 0.5000 (multiplicity 1)  6 As 2.86-2.87
Zr 0.5000 0.0000 0.5000 (multiplicity 1)  6 As 2.80-2.81
As 0.2553 0.0000 0.7438 (multiplicity 2)  1 Zr 2.80, 2 Y 2.87, 3 Tb 2.87-2.93
As 0.2603 0.5000 0.2608 (multiplicity 2)  2 Zr 2.81, 1 Y 2.86, 3 Tb 2.87-2.93

***

Entry 2:
## HfHgPt (PBE-GGA)

Data for crystalline HfHgPt at its relaxed geometry.

Summary:
Formation energy from the elements = -22 meV per atom
Magnetization = 0.0 μB/f.u.

Unit cell a=9.7171 b=3.0417 c=9.2130 alpha=90.00 beta=116.06 gamma=90.00
With the nearest neighbours (Å) after each atom.
Space group C2/m (No. 12)
Unique sites:
Hf 0.1882 0.0000 0.1031 (multiplicity 4)  1 Pt 2.63
Hg 0.0115 0.0000 0.7288 (multiplicity 4)  5 Pt 2.89-3.03, 4 Hf 2.97-3.10, 2 Hg 3.04
Pt 0.1802 0.5000 0.5792 (multiplicity 4)  1 Hf 2.63, 2 Pt 2.83, 1 Hg 2.89

***

Entry 3:
## NaAcH6Au2 (PBE-GGA)

Data for crystalline NaAcH6Au2 at its relaxed geometry.

Summary:
Magnetization = 0.0 μB/f.u.
Total DFT energy (no corrections) = -3.38 eV per atom

Unit cell a=5.3044 b=5.3044 c=18.5647 alpha=90.00 beta=90.00 gamma=120.00
With the nearest neighbours (Å) after each atom.
Space group R-3 (No. 148, hexagonal axes)
Unique sites:
Na 0.0000 0.0000 0.0000 (multiplicity 3)  6 H 2.23
Ac 0.0000 0.0000 0.5000 (multiplicity 3)  6 H 2.61
H 0.0247 0.4237 0.5771 (multiplicity 18)  1 Au 1.71
Au 0.0000 0.0000 0.2473 (multiplicity 6)  3 H 1.71